# 1
GGA-PBE K4NaCl5, optimized geometry; D(E_F) = 0.000 states/eV per cell; energy relative to the elements, uncorrected = -1.91 eV/atom; energy above the most stable polymorph in this dataset = 0.004 eV per atom
1.0
7.645 0.003 0.000
-5.065 5.727 0.000
-1.290 -2.865 6.970
Cl K Na
5 4 1
direct
0.716 0.908 0.624
0.092 0.716 0.809
0.908 0.284 0.191
0.500 0.500 0.000
0.284 0.092 0.376
0.403 0.799 0.201
0.201 0.403 0.604
0.799 0.597 0.396
0.597 0.201 0.799
0.000 0.000 0.000


# 2
GGA-PBE RbPaHg2O6, optimized geometry; D(E_F) = 4.406 states/eV per cell; energy relative to the elements, uncorrected = -1.47 eV/atom
1.0
8.242 0.864 0.896
3.797 6.935 1.330
3.797 1.072 6.980
O Hg Pa Rb
12 4 2 2
direct
0.868 0.412 0.912
0.632 0.088 0.588
0.253 0.162 0.042
0.753 0.042 0.162
0.747 0.838 0.958
0.247 0.338 0.458
0.753 0.662 0.542
0.253 0.542 0.662
0.132 0.588 0.088
0.368 0.912 0.412
0.747 0.458 0.338
0.247 0.958 0.838
0.750 0.250 0.250
0.250 0.750 0.750
0.250 0.250 0.250
0.750 0.750 0.750
0.750 0.750 0.250
0.250 0.250 0.750
0.750 0.250 0.750
0.250 0.750 0.250


# 3
GGA-PBE La2Pm3Pr4, optimized geometry; D(E_F) = 13.327 states/eV per cell; energy above the most stable polymorph in this dataset = 0.014 eV per atom; formation energy from the elements = 0.072 eV per atom
1.0
-0.959 -0.871 -3.376
3.463 -8.177 1.124
-9.044 -1.382 4.863
La Pr Pm
2 4 3
direct
0.666 0.036 0.333
0.334 0.964 0.667
0.721 0.652 0.443
0.550 0.684 0.100
0.279 0.348 0.557
0.450 0.316 0.900
0.106 0.361 0.212
0.894 0.639 0.788
0.000 0.000 0.000


# 4
GGA-PBE CdReSe2, optimized geometry; D(E_F) = 2.922 states/eV per cell; energy relative to the elements, uncorrected = 0.66 eV/atom; energy above the most stable polymorph in this dataset = 0.646 eV per atom
1.0
-0.362 -1.991 4.318
-4.115 -2.041 -1.286
1.615 -2.590 -1.059
Se Re Cd
2 1 1
direct
0.000 0.000 0.000
0.500 0.500 0.000
0.000 0.500 0.500
0.500 0.000 0.500


# 5
GGA-PBE KSc2Al, optimized geometry; D(E_F) = 3.121 states/eV per cell; formation energy from the elements = 0.453 eV per atom
1.0
4.433 0.000 0.000
0.000 4.824 0.000
0.000 0.000 4.824
Sc K Al
2 1 1
direct
0.000 0.000 0.000
0.000 0.500 0.500
0.500 0.000 0.500
0.500 0.500 0.000


# 6
GGA-PBE KSr3Rh, optimized geometry; D(E_F) = 5.391 states/eV per cell; energy above the most stable polymorph in this dataset = 0.230 eV per atom; formation energy from the elements = 0.094 eV per atom
1.0
1.209 5.785 -0.987
-5.519 -1.672 1.630
3.072 1.374 11.811
Sr Rh K
6 2 2
direct
0.667 0.333 0.940
0.000 0.000 0.750
0.333 0.667 0.440
0.667 0.333 0.560
0.333 0.667 0.060
0.000 0.000 0.250
0.000 0.000 0.500
0.000 0.000 0.000
0.667 0.333 0.250
0.333 0.667 0.750


# 7
GGA-PBE Ba4Pt2Br3, optimized geometry; D(E_F) = 2.659 states/eV per cell; energy relative to the elements, uncorrected = -1.38 eV/atom
1.0
-0.721 -3.798 2.033
6.873 -0.736 5.754
-6.646 2.048 6.162
Br Ba Pt
3 4 2
direct
0.193 0.443 0.171
0.807 0.557 0.829
0.000 0.000 0.000
0.712 0.232 0.344
0.514 0.768 0.203
0.288 0.768 0.656
0.486 0.232 0.797
0.181 0.099 0.539
0.819 0.901 0.461


# 8
GGA-PBE Ta2CuCl, optimized geometry; D(E_F) = 3.841 states/eV per cell; energy relative to the elements, uncorrected = 0.39 eV/atom; energy above the most stable polymorph in this dataset = 0.390 eV per atom
1.0
2.849 0.010 0.000
-1.137 2.612 0.000
0.000 0.000 8.951
Cl Ta Cu
1 2 1
direct
0.500 0.500 0.250
0.000 0.000 0.997
0.000 0.000 0.503
0.500 0.500 0.750


# 9
GGA-PBE RbTlCl4, optimized geometry; energy relative to the elements, uncorrected = -1.12 eV/atom
1.0
6.842 0.000 0.000
0.000 7.516 0.415
-3.421 -2.651 7.148
Cl Tl Rb
8 2 2
direct
0.124 0.160 0.365
0.759 0.340 0.635
0.706 0.442 0.189
0.516 0.058 0.811
0.294 0.558 0.811
0.484 0.942 0.189
0.241 0.660 0.365
0.876 0.840 0.635
0.000 0.500 0.500
0.500 0.000 0.500
0.822 0.750 0.000
0.178 0.250 0.000


# 10
GGA-PBE AgPOs2, optimized geometry; D(E_F) = 1.562 states/eV per cell; formation energy from the elements = 0.237 eV per atom
1.0
-3.999 -5.701 -5.083
-1.339 -6.663 -5.305
-2.962 -7.470 -3.123
Os P Ag
2 1 1
direct
0.985 0.985 0.985
0.515 0.515 0.515
0.250 0.250 0.250
0.750 0.750 0.750


# 11
GGA-PBE Tl2Cr2Te6As, optimized geometry; D(E_F) = 3.537 states/eV per cell; energy relative to the elements, uncorrected = -0.19 eV/atom
1.0
-5.929 -3.790 -0.651
4.595 0.382 -5.356
4.198 -5.236 4.747
Cr Tl Te As
2 2 6 1
direct
0.669 0.331 0.500
0.331 0.669 0.500
0.841 0.159 0.000
0.159 0.841 0.000
0.408 0.062 0.689
0.711 0.711 0.689
0.062 0.408 0.689
0.289 0.289 0.311
0.592 0.938 0.311
0.938 0.592 0.311
0.000 0.000 0.500


# 12
GGA-PBE CdOs3, optimized geometry; D(E_F) = 4.828 states/eV per cell; energy above the most stable polymorph in this dataset = 0.702 eV per atom; formation energy from the elements = 0.939 eV per atom
1.0
-1.635 -2.059 -0.802
-0.557 -2.541 4.521
-4.113 2.711 -1.714
Os Cd
3 1
direct
0.500 0.000 0.500
0.000 0.500 0.500
0.500 0.500 0.000
0.000 0.000 0.000


# 13
GGA-PBE HfZrSc2, optimized geometry; D(E_F) = 10.839 states/eV per cell; energy above the most stable polymorph in this dataset = 0.000 eV per atom; formation energy from the elements = 0.024 eV per atom
1.0
3.219 -0.002 0.002
0.003 5.520 0.772
-1.615 -0.514 10.393
Sc Zr Hf
4 2 2
direct
0.669 0.231 0.823
0.416 0.649 0.318
0.916 0.149 0.318
0.169 0.731 0.823
0.044 0.439 0.574
0.544 0.939 0.574
0.292 0.357 0.069
0.792 0.856 0.069


# 14
GGA-PBE NaAlSb, optimized geometry; D(E_F) = 1.154 states/eV per cell; energy relative to the elements, uncorrected = -0.06 eV/atom
1.0
3.272 0.000 0.000
0.000 5.060 0.000
0.000 -2.530 4.382
Sb Al Na
1 1 1
direct
0.167 0.000 0.000
0.167 0.667 0.333
0.666 0.333 0.667


# 15
GGA-PBE BaSr3Li8, optimized geometry; D(E_F) = 12.033 states/eV per cell; formation energy from the elements = 0.014 eV per atom
1.0
6.531 0.000 0.000
-3.266 5.656 0.000
0.000 0.000 10.545
Sr Li Ba
3 8 1
direct
0.000 0.000 0.943
0.667 0.333 0.436
0.667 0.333 0.061
0.498 0.502 0.754
0.333 0.667 0.998
0.170 0.341 0.247
0.170 0.830 0.247
0.003 0.502 0.754
0.659 0.830 0.247
0.498 0.997 0.754
0.333 0.667 0.496
0.000 0.000 0.562


# 16
GGA-PBE Cs2NpB2Se6, optimized geometry; D(E_F) = 4.686 states/eV per cell; energy relative to the elements, uncorrected = -0.67 eV/atom
1.0
7.293 0.000 0.000
3.646 6.316 0.000
3.646 2.105 7.655
B Se Cs Np
2 6 2 1
direct
0.598 0.598 0.206
0.402 0.402 0.794
0.747 0.747 0.223
0.747 0.282 0.223
0.253 0.718 0.777
0.282 0.747 0.223
0.253 0.253 0.777
0.718 0.253 0.777
0.776 0.776 0.671
0.224 0.224 0.329
0.000 0.000 0.000


# 17
GGA-PBE LiRuSe2Br, optimized geometry; D(E_F) = 5.825 states/eV per cell; energy relative to the elements, uncorrected = -0.09 eV/atom; energy above the most stable polymorph in this dataset = 0.000 eV per atom
1.0
-1.519 -3.844 -2.415
1.151 -2.790 3.716
-5.135 0.700 2.116
Br Li Se Ru
1 1 2 1
direct
0.000 0.000 0.500
0.500 0.500 0.500
0.000 0.500 0.000
0.500 0.000 0.000
0.000 0.000 0.000


# 18
GGA-PBE TmHgO, optimized geometry; D(E_F) = 1.129 states/eV per cell; energy relative to the elements, uncorrected = -2.19 eV/atom; energy above the most stable polymorph in this dataset = 0.000 eV per atom
1.0
-0.424 -2.970 2.419
3.790 -0.679 -0.169
1.127 4.777 6.063
O Hg Tm
2 2 2
direct
0.750 0.750 0.500
0.250 0.250 0.500
0.250 0.750 0.901
0.750 0.250 0.099
0.250 0.750 0.364
0.750 0.250 0.636


# 19
GGA-PBE HfSb2NF, optimized geometry; D(E_F) = 4.144 states/eV per cell; energy relative to the elements, uncorrected = 0.73 eV/atom
1.0
5.091 0.000 0.000
0.000 4.053 0.000
0.000 0.000 5.091
F Sb Hf N
1 2 1 1
direct
0.000 0.000 0.000
0.000 0.000 0.500
0.500 0.000 0.000
0.000 0.500 0.000
0.500 0.500 0.500


# 20
GGA-PBE CaPaWN4, optimized geometry; D(E_F) = 7.500 states/eV per cell; energy relative to the elements, uncorrected = -1.02 eV/atom
1.0
-2.665 4.273 -2.492
-3.980 -3.446 -1.651
-1.758 -1.046 6.422
N Pa Ca W
8 2 2 2
direct
0.500 0.000 0.500
0.940 0.250 0.880
0.500 0.500 0.500
0.579 0.250 0.159
0.421 0.750 0.841
0.000 0.000 0.500
0.000 0.500 0.500
0.060 0.750 0.120
0.110 0.250 0.220
0.890 0.750 0.780
0.606 0.750 0.211
0.394 0.250 0.789
0.732 0.250 0.464
0.268 0.750 0.536